No. 1
Entry from Alexandria: an optimized crystal structure of LiPd (PBE-GGA).

POSCAR file:
```
LiPd
1.0
-3.853 3.853 3.853
3.853 -3.853 3.853
3.853 3.853 -3.853
Li Pd
4 4
Direct
0.000 0.000 0.615 Li
0.000 0.615 0.000 Li
0.385 0.385 0.385 Li
0.615 0.000 0.000 Li
0.000 0.000 0.250 Pd
0.000 0.250 0.000 Pd
0.250 0.000 0.000 Pd
0.750 0.750 0.750 Pd
```

Results
Volume ... 28.60 Å³ per atom
Symmetry ... I-43m (217)
Calculated total energy ... -3.174 eV/atom

***

No. 2
Entry from Alexandria: an optimized crystal structure of Li8Pd3 (PBE-GGA).

POSCAR file:
```
Li8Pd3
1.0
4.145 -1.985 0.000
4.145 1.985 0.000
-3.061 0.000 9.749
Li Pd
8 3
Direct
0.048 0.048 0.318 Li
0.130 0.130 0.959 Li
0.226 0.226 0.591 Li
0.322 0.322 0.226 Li
0.678 0.678 0.774 Li
0.774 0.774 0.409 Li
0.870 0.870 0.041 Li
0.952 0.952 0.682 Li
0.403 0.403 0.862 Pd
0.500 0.500 0.500 Pd
0.597 0.597 0.138 Pd
```

Results
Volume ... 14.58 Å³ per atom
Symmetry ... C2/m (12)
Energy above the lowest structure with this stoichiometry ... 0 meV per atom

***

No. 3
Entry from Alexandria: an optimized crystal structure of Li3Pd4 (PBE-GGA).

POSCAR file:
```
Li3Pd4
1.0
2.101 -2.108 0.000
2.101 2.108 0.000
-2.090 0.000 10.736
Li Pd
3 4
Direct
0.000 0.000 0.000 Li
0.138 0.138 0.278 Li
0.862 0.862 0.722 Li
0.293 0.293 0.585 Pd
0.431 0.431 0.862 Pd
0.569 0.569 0.138 Pd
0.707 0.707 0.415 Pd
```

Results
Volume ... 13.59 Å³ per atom
Symmetry ... C2/m (12)
Energy above the lowest structure with this stoichiometry ... 12 meV per atom

***

No. 4
Entry from Alexandria: an optimized crystal structure of Li6Pd (PBE-GGA).

POSCAR file:
```
Li6Pd
1.0
4.351 0.000 0.000
0.000 4.351 0.000
0.000 0.000 6.634
Li Pd
6 1
Direct
0.000 0.000 0.000 Li
0.000 0.500 0.237 Li
0.000 0.500 0.763 Li
0.500 0.000 0.237 Li
0.500 0.000 0.763 Li
0.500 0.500 0.500 Li
0.500 0.500 0.000 Pd
```

Results
Volume ... 17.94 Å³ per atom
Symmetry ... P4/mmm (123)
Energy above the lowest structure with this stoichiometry ... 59 meV per atom